#P
Ba2HgF: optimized geometry, PBE.

Computed properties:
* density: 4.16 g/cm³
* Fermi-level density of states: 2.5 states/eV per cell

Unit cell a=5.1158 b=5.1158 c=9.1884 alpha=73.84 beta=73.84 gamma=60.00
Fractional positions:
Ba (0.0941, 0.0941, 0.7177)
Ba (0.9059, 0.9059, 0.2823)
Hg (0.5000, 0.5000, 0.5000)
F (0.0000, 0.0000, 0.0000)


#Q
Ba2HgF: optimized geometry, PBE.

Computed properties:
* density: 6.12 g/cm³
* Fermi-level density of states: 7.8 states/eV per cell

Unit cell a=5.7462 b=5.7462 c=5.7462 alpha=60.00 beta=60.00 gamma=60.00
Fractional positions:
Hg (0.5000, 0.5000, 0.5000)
F (0.0000, 0.0000, 0.0000)
Ba (0.7500, 0.7500, 0.7500)
Ba (0.2500, 0.2500, 0.2500)


#R
Ba2HgF: optimized geometry, PBE.

Computed properties:
* density: 5.53 g/cm³
* Fermi-level density of states: 9.2 states/eV per cell

Unit cell a=7.8723 b=7.8723 c=7.3443 alpha=57.59 beta=57.59 gamma=90.00
Fractional positions:
F (0.5000, 0.5000, 0.0000)
F (0.2500, 0.7500, 0.5000)
Ba (0.5503, 0.1250, 0.2500)
Ba (0.8750, 0.8003, 0.7500)
Ba (0.3750, 0.4497, 0.7500)
Ba (0.1997, 0.6250, 0.2500)
Hg (0.7500, 0.2500, 0.5000)
Hg (0.0000, 0.0000, 0.0000)


Which of them is least stable? Easy: #Q.


#P
Ba2Hg2F7: optimized geometry, PBE.

Computed properties:
* density: 6.00 g/cm³
* Fermi-level density of states: 2.7 states/eV per cell

Unit cell a=8.4271 b=8.5483 c=8.5483 alpha=63.09 beta=60.47 gamma=60.47
Fractional positions:
F (0.7500, 0.1202, 0.3798)
F (0.6631, 0.6190, 0.6141)
F (0.2500, 0.8798, 0.6202)
F (0.8884, 0.3568, 0.8664)
F (0.1116, 0.6432, 0.1336)
F (0.1631, 0.1141, 0.1190)
F (0.8962, 0.3810, 0.3859)
F (0.6038, 0.1141, 0.1190)
F (0.3369, 0.3810, 0.3859)
F (0.8369, 0.8859, 0.8810)
F (0.6116, 0.6336, 0.1432)
F (0.1038, 0.6190, 0.6141)
F (0.3962, 0.8859, 0.8810)
F (0.3884, 0.3664, 0.8568)
Ba (0.0000, 0.0000, 0.0000)
Ba (0.5000, 0.5000, 0.0000)
Ba (0.5000, 0.5000, 0.5000)
Ba (0.0000, 0.5000, 0.0000)
Hg (0.5000, 0.0000, 0.5000)
Hg (0.0000, 0.0000, 0.5000)
Hg (0.0000, 0.5000, 0.5000)
Hg (0.5000, 0.0000, 0.0000)


#Q
Ba2Hg2F7: optimized geometry, PBE.

Computed properties:
* density: 6.08 g/cm³
* Fermi-level density of states: 1.1 states/eV per cell

Unit cell a=6.1685 b=5.8119 c=6.1685 alpha=90.00 beta=91.78 gamma=90.00
Fractional positions:
F (0.5000, 0.7499, 0.0000)
F (0.0000, 0.7499, 0.5000)
F (0.5000, 0.2464, 0.5000)
F (0.0000, 0.2501, 0.5000)
F (0.5000, 0.7536, 0.5000)
F (0.5000, 0.2501, 0.0000)
F (0.0000, 0.0000, 0.0000)
Ba (0.2525, 0.5000, 0.2525)
Ba (0.7475, 0.5000, 0.7475)
Hg (0.2673, 0.0000, 0.7327)
Hg (0.7327, 0.0000, 0.2673)


Which of them is least stable? Easy: #Q.


#P
BaHgF4: optimized geometry, PBE.

Computed properties:
* density: 6.04 g/cm³
* Fermi-level density of states: 0.0 states/eV per cell

Unit cell a=4.3856 b=4.3856 c=5.9665 alpha=95.17 beta=95.17 gamma=89.10
Fractional positions:
F (0.0364, 0.0670, 0.2618)
F (0.5670, 0.5364, 0.2618)
F (0.4330, 0.4636, 0.7382)
F (0.9636, 0.9330, 0.7382)
Hg (0.0000, 0.5000, 0.5000)
Ba (0.5000, 0.0000, 0.0000)


#Q
BaHgF4: optimized geometry, PBE.

Computed properties:
* density: 6.04 g/cm³
* Fermi-level density of states: 0.0 states/eV per cell

Unit cell a=6.1774 b=6.2461 c=7.1644 alpha=111.62 beta=115.52 gamma=90.01
Fractional positions:
F (0.3211, 0.4811, 0.7746)
F (0.8257, 0.3533, 0.7236)
F (0.1743, 0.6467, 0.2764)
F (0.6789, 0.5189, 0.2254)
F (0.4540, 0.9814, 0.7749)
F (0.8984, 0.8532, 0.7237)
F (0.5460, 0.0186, 0.2251)
F (0.1016, 0.1468, 0.2763)
Ba (0.2335, 0.2501, 0.0000)
Ba (0.7665, 0.7499, 0.0000)
Hg (0.0000, 0.5000, 0.5000)
Hg (0.5000, 0.0000, 0.5000)


Which of them is least stable? Easy: #P.


#P
Rb2BaHgF6: optimized geometry, PBE.

Computed properties:
* density: 4.50 g/cm³
* Fermi-level density of states: 0.0 states/eV per cell

Unit cell a=6.8726 b=6.8726 c=6.8765 alpha=60.02 beta=60.02 gamma=90.00
Fractional positions:
F (0.7605, 0.7605, 0.4791)
F (0.7607, 0.2393, 0.0000)
F (0.2393, 0.2393, 0.0000)
F (0.2395, 0.2395, 0.5209)
F (0.2393, 0.7607, 0.0000)
F (0.7607, 0.7607, 0.0000)
Rb (0.2500, 0.7500, 0.5000)
Rb (0.7500, 0.2500, 0.5000)
Hg (0.0000, 0.0000, 0.0000)
Ba (0.5000, 0.5000, 0.0000)


#Q
Rb2BaHgF6: optimized geometry, PBE.

Computed properties:
* density: 4.80 g/cm³
* Fermi-level density of states: 0.0 states/eV per cell

Unit cell a=6.6533 b=6.8381 c=9.4679 alpha=90.00 beta=90.80 gamma=90.00
Fractional positions:
Rb (0.9845, 0.0475, 0.7509)
Rb (0.4845, 0.4525, 0.2509)
Rb (0.0155, 0.9525, 0.2491)
Rb (0.5155, 0.5475, 0.7491)
F (0.1926, 0.2184, 0.0562)
F (0.7192, 0.3027, 0.9465)
F (0.6926, 0.2816, 0.5562)
F (0.7808, 0.8027, 0.5535)
F (0.8074, 0.7816, 0.9438)
F (0.1023, 0.4557, 0.7634)
F (0.2192, 0.1973, 0.4465)
F (0.2808, 0.6973, 0.0535)
F (0.3977, 0.9557, 0.7366)
F (0.6023, 0.0443, 0.2634)
F (0.3074, 0.7184, 0.4438)
F (0.8977, 0.5443, 0.2366)
Ba (0.0000, 0.5000, 0.5000)
Ba (0.5000, 0.0000, 0.0000)
Hg (0.0000, 0.5000, 0.0000)
Hg (0.5000, 0.0000, 0.5000)


Which of them is least stable? Easy: #P.


#P
Ba2IF: optimized geometry, PBE.

Computed properties:
* density: 4.52 g/cm³
* Fermi-level density of states: 4.4 states/eV per cell

Unit cell a=8.4816 b=8.4816 c=7.3793 alpha=54.92 beta=54.92 gamma=90.00
Each line ends with the local moment (μB).
Fractional positions:
F (0.2500, 0.7500, 0.5000)  0.03
F (0.5000, 0.5000, 0.0000)  0.03
Ba (0.2275, 0.6250, 0.2500)  0.25
Ba (0.8750, 0.7725, 0.7500)  0.24
Ba (0.5225, 0.1250, 0.2500)  0.25
Ba (0.3750, 0.4775, 0.7500)  0.24
I (0.7500, 0.2500, 0.5000)  0.03
I (0.0000, 0.0000, 0.0000)  0.03


#Q
Ba2IF: optimized geometry, PBE.

Computed properties:
* density: 5.20 g/cm³
* Fermi-level density of states: 4.1 states/eV per cell

Unit cell a=5.7486 b=5.7486 c=5.7486 alpha=60.00 beta=60.00 gamma=60.00
Each line ends with the local moment (μB).
Fractional positions:
Ba (0.2500, 0.2500, 0.2500)  0.34
Ba (0.7500, 0.7500, 0.7500)  0.34
I (0.5000, 0.5000, 0.5000)  0.00
F (0.0000, 0.0000, 0.0000)  0.01


Which of them is least stable? Easy: #Q.


#P
BaIF3: optimized geometry, PBE.

Computed properties:
* density: 4.30 g/cm³
* Fermi-level density of states: 1.8 states/eV per cell

Unit cell a=4.9887 b=4.9887 c=4.9887 alpha=90.00 beta=90.00 gamma=90.00
Fractional positions:
F (0.0000, 0.5000, 0.0000)
F (0.5000, 0.0000, 0.0000)
F (0.0000, 0.0000, 0.5000)
I (0.0000, 0.0000, 0.0000)
Ba (0.5000, 0.5000, 0.5000)


#Q
BaIF3: optimized geometry, PBE.

Computed properties:
* density: 3.96 g/cm³
* Fermi-level density of states: 4.0 states/eV per cell

Unit cell a=5.1282 b=5.1282 c=5.1282 alpha=90.00 beta=90.00 gamma=90.00
Each line ends with the local moment (μB).
Fractional positions:
I (0.5000, 0.5000, 0.5000)  0.93
F (0.5000, 0.0000, 0.0000)  0.19
F (0.0000, 0.0000, 0.5000)  0.22
F (0.0000, 0.5000, 0.0000)  0.12
Ba (0.0000, 0.0000, 0.0000)  -0.01


Which of them is least stable? Easy: #P.